This record from the Alexandria database describes a relaxed TlCoSn2 crystal. The functional is GGA-PBE.

a b c (Å): 5.623 5.623 8.499
angles (deg): 70.68 70.68 90.00
Positions (direct):
Tl 0.000 0.000 0.000
Tl 0.750 0.250 0.500
Co 0.500 0.500 0.000
Co 0.250 0.750 0.500
Sn 0.501 0.125 0.250
Sn 0.249 0.625 0.250
Sn 0.375 0.499 0.750
Sn 0.875 0.751 0.750

Values from the calculation:
**DOS at the Fermi energy**: 3.1 states/eV/f.u.
**Energy of formation from the pure elements**: 379.6 meV/atom
**Energy relative to the lowest polymorph listed for this composition**: 92.6 kJ/mol of formula units
**Symmetry**: I-42d (122)
**Magnetic moment**: 0.00 μB per formula unit